The following is a DFT calculation (GGA-PBE) of a relaxed BaTl2Pt crystal.

Values from the calculation:
Space-group type: I-42d
Energy of formation from the pure elements, meV per atom: -177
Mass density, g/cm3: 9.8
Magnetization, μB per formula unit: 0.0
Electronic total energy, eV/cell: -53.62

Unit cell a=4.5826 b=4.5826 c=23.8423 alpha=90.00 beta=90.00 gamma=90.00
Closest atoms and distances in Å follow each position.
Positions (direct):
Ba: 0.0000 0.0000 0.0000  4 Pt 3.24, 4 Tl 3.45
Ba: 0.0000 0.5000 0.2500  4 Pt 3.24, 4 Tl 3.45
Ba: 0.5000 0.0000 0.7500  4 Pt 3.24, 4 Tl 3.45
Ba: 0.5000 0.5000 0.5000  4 Pt 3.24, 4 Tl 3.45
Tl: 0.2173 0.2500 0.6250  2 Tl 3.04, 2 Pt 3.34
Tl: 0.2500 0.7173 0.8750  2 Tl 3.04, 2 Pt 3.34
Tl: 0.2500 0.7827 0.3750  2 Tl 3.04, 2 Pt 3.34
Tl: 0.2827 0.2500 0.1250  2 Tl 3.04, 2 Pt 3.34
Tl: 0.7173 0.7500 0.1250  2 Tl 3.04, 2 Pt 3.34
Tl: 0.7500 0.2173 0.3750  2 Tl 3.04, 2 Pt 3.34
Tl: 0.7500 0.2827 0.8750  2 Tl 3.04, 2 Pt 3.34
Tl: 0.7827 0.7500 0.6250  2 Tl 3.04, 2 Pt 3.34
Pt: 0.0000 0.0000 0.5000  4 Ba 3.24, 4 Tl 3.34
Pt: 0.0000 0.5000 0.7500  4 Ba 3.24, 4 Tl 3.34
Pt: 0.5000 0.0000 0.2500  4 Ba 3.24, 4 Tl 3.34
Pt: 0.5000 0.5000 0.0000  4 Ba 3.24, 4 Tl 3.34